Density functional theory data (PBEsol) for Tl2Zn3 after structural relaxation.

formation energy from the elements: 1.202 eV per formula unit
space-group type: No. 164
total magnetization: 0.000 μB/atom
V: 21.321 Å³/atom

Cell lengths 3.6536, 3.6536, 9.2215 Å; angles 90.00, 90.00, 120.00 degrees
Last column: nearest neighbours and their distance in Å.
Fractional coordinates of all 5 atoms:
Tl (0.3333, 0.6667, 0.2894)  6 Zn 2.87-2.88
Tl (0.6667, 0.3333, 0.7106)  6 Zn 2.87-2.88
Zn (0.0000, 0.0000, 0.5000)  6 Tl 2.87
Zn (0.3333, 0.6667, 0.9233)  3 Zn 2.54
Zn (0.6667, 0.3333, 0.0767)  3 Zn 2.54